Arrangement w

TlZn2Cd | PBE-GGA | optimized geometry

Structure (POSCAR):
```
TlZn2Cd
1.0
-2.159 2.159 4.635
2.159 -2.159 4.635
2.159 2.159 -4.635
Tl Zn Cd
1 2 1
Cartesian
0.000 0.000 0.000 Tl
2.159 0.000 2.317 Zn
0.000 0.000 4.635 Zn
0.000 2.159 2.317 Cd
```

Spin magnetization   0.000 Bohr magnetons per cell
Space-group type   I-4m2, No. 119

***

Arrangement x

TlZn2Cd | PBE-GGA | optimized geometry

Structure (POSCAR):
```
TlZn2Cd
1.0
4.799 0.000 0.000
0.000 4.799 0.000
0.000 0.000 3.808
Tl Zn Cd
1 2 1
Cartesian
0.000 0.000 0.000 Tl
0.000 2.400 1.904 Zn
2.400 0.000 1.904 Zn
2.400 2.400 0.000 Cd
```

Spin magnetization   0.000 Bohr magnetons per cell
Space-group type   P4/mmm, No. 123

***

Last place for stability: arrangement w